# 1
! La8Ge3Br3N (GGA-PBE, relaxed); values from VASP
! - Total energy: -5.5269 eV/atom
! - Total moment: 1.2 μB per formula unit
&SYSTEM
  ibrav = 0, nat = 15, ntyp = 4
/
ATOMIC_SPECIES
Br 79.90 Br.upf
La 138.91 La.upf
N 14.01 N.upf
Ge 72.64 Ge.upf
ATOMIC_POSITIONS crystal
Br 0.0000 0.5000 0.0000
La 0.7705 0.9860 0.7013
N 0.0000 0.0000 0.5000
La 0.2591 0.5183 0.2775
La 0.7846 0.5693 0.2987
La 0.2295 0.0140 0.2987
La 0.2155 0.9860 0.7014
Ge 0.0000 0.5000 0.5000
Ge 0.5000 0.0000 0.5000
La 0.2154 0.4307 0.7013
Ge 0.5000 0.5000 0.5000
Br 0.0000 0.0000 0.0000
La 0.7409 0.4817 0.7225
La 0.7845 0.0140 0.2986
Br 0.5000 0.5000 0.0000
CELL_PARAMETERS angstrom
8.5624 0.0004 0.0005
-4.2808 7.4163 -0.0271
0.0001 -4.9185 7.4227


# 2
! La6GeBr3N2 (GGA-PBE, relaxed); values from VASP
! - Total energy: -6.0035 eV/atom
! - Total moment: 0.0 μB per formula unit
&SYSTEM
  ibrav = 0, nat = 12, ntyp = 4
/
ATOMIC_SPECIES
La 138.91 La.upf
Br 79.90 Br.upf
N 14.01 N.upf
Ge 72.64 Ge.upf
ATOMIC_POSITIONS crystal
La 0.6852 0.5494 0.3704
Br 0.8391 0.1708 0.6783
La 0.9683 0.7437 0.9366
La 0.0317 0.2563 0.0634
N 0.1741 0.3403 0.3481
Br 0.5000 0.5000 0.0000
La 0.3330 0.8585 0.6659
N 0.8259 0.6597 0.6519
Ge 0.5000 0.0000 0.0000
Br 0.1609 0.8292 0.3217
La 0.6670 0.1415 0.3341
La 0.3148 0.4506 0.6296
CELL_PARAMETERS angstrom
4.0040 0.0000 0.0000
0.0000 8.8178 -0.3146
-2.0020 -3.1637 9.0192


# 3
! La2NbGeBr (GGA-PBE, relaxed); values from VASP
! - Total energy: -4.4771 eV/atom
! - Total moment: 0.0 μB per formula unit
&SYSTEM
  ibrav = 0, nat = 5, ntyp = 4
/
ATOMIC_SPECIES
Nb 92.91 Nb.upf
La 138.91 La.upf
Br 79.90 Br.upf
Ge 72.64 Ge.upf
ATOMIC_POSITIONS crystal
Nb 0.5000 0.5000 0.5000
La 0.5000 0.0000 0.0000
Br 0.0000 0.5000 0.0000
Ge 0.0000 0.0000 0.0000
La 0.0000 0.0000 0.5000
CELL_PARAMETERS angstrom
-4.0050 4.0344 -1.2594
-0.9947 -2.3453 -4.3495
-4.0672 -3.2074 2.6596


# 4
! La8NiGe3Br4 (GGA-PBE, relaxed); values from VASP
! - Total energy: -5.2231 eV/atom
! - Total moment: 0.0 μB per formula unit
&SYSTEM
  ibrav = 0, nat = 16, ntyp = 4
/
ATOMIC_SPECIES
La 138.91 La.upf
Ge 72.64 Ge.upf
Br 79.90 Br.upf
Ni 58.69 Ni.upf
ATOMIC_POSITIONS crystal
La 0.7672 0.2846 0.0174
Ge 0.5000 0.5000 0.0000
La 0.2328 0.7154 0.9826
La 0.2502 0.2846 0.0174
La 0.2584 0.2753 0.5169
Br 0.0000 0.0000 0.5000
Ge 0.5000 0.5000 0.5000
Ge 0.0000 0.5000 0.5000
Br 0.5000 0.0000 0.0000
La 0.2346 0.7171 0.4692
Ni 0.0000 0.5000 0.0000
Br 0.5000 0.0000 0.5000
La 0.7416 0.7247 0.4831
Br 0.0000 0.0000 0.0000
La 0.7498 0.7154 0.9826
La 0.7654 0.2829 0.5308
CELL_PARAMETERS angstrom
-8.0463 -3.4411 -0.6428
2.0238 -5.9089 6.2985
0.9891 8.5746 1.6079